(1)
A plane-wave DFT calculation with PBE was carried out for a relaxed structure of NaInFeGe2.

a b c (Å): 4.6352 4.6352 5.0419
angles (deg): 90.00 90.00 90.00
Atoms (fractional coordinates):
1 Na 0.0000 0.0000 0.0000
2 In 0.5000 0.5000 0.0000
3 Fe 0.5000 0.5000 0.5000
4 Ge 0.0000 0.5000 0.5000
5 Ge 0.5000 0.0000 0.5000

Computed properties:
E_form: 0.26 eV/f.u.

---

(2)
A plane-wave DFT calculation with PBE was carried out for a relaxed structure of NaSn5Pt3.

a b c (Å): 7.5262 7.5262 9.8018
angles (deg): 111.14 111.14 72.39
Atoms (fractional coordinates):
1 Na 0.1179 0.1179 0.3173
2 Na 0.8821 0.8821 0.6827
3 Sn 0.0511 0.6383 0.3331
4 Sn 0.2302 0.2302 0.0356
5 Sn 0.2954 0.7046 0.0000
6 Sn 0.3617 0.9489 0.6669
7 Sn 0.4093 0.4093 0.6312
8 Sn 0.5907 0.5907 0.3688
9 Sn 0.6383 0.0511 0.3331
10 Sn 0.7046 0.2954 0.0000
11 Sn 0.7698 0.7698 0.9644
12 Sn 0.9489 0.3617 0.6669
13 Pt 0.0000 0.0000 0.0000
14 Pt 0.0000 0.0000 0.5000
15 Pt 0.3263 0.3263 0.8399
16 Pt 0.3621 0.3621 0.3367
17 Pt 0.6379 0.6379 0.6633
18 Pt 0.6737 0.6737 0.1601

Computed properties:
E_form: -2.99 eV/f.u.

---

(3)
A plane-wave DFT calculation with PBE was carried out for a relaxed structure of Sr3OsPt.

a b c (Å): 5.5886 5.5886 5.5886
angles (deg): 90.00 90.00 90.00
Atoms (fractional coordinates):
1 Sr 0.0000 0.0000 0.5000
2 Sr 0.0000 0.5000 0.0000
3 Sr 0.5000 0.0000 0.0000
4 Os 0.0000 0.0000 0.0000
5 Pt 0.5000 0.5000 0.5000

Computed properties:
E_form: 2.62 eV/f.u.
energy above the most stable polymorph in this dataset: 0 meV/atom

---

(4)
A plane-wave DFT calculation with PBE was carried out for a relaxed structure of LiBeZnPtI.

a b c (Å): 4.1746 4.1746 20.2223
angles (deg): 90.00 90.00 120.00
Atoms (fractional coordinates):
1 Li 0.0000 0.0000 0.0000
2 Li 0.3333 0.6667 0.6667
3 Li 0.6667 0.3333 0.3333
4 Be 0.0000 0.0000 0.7861
5 Be 0.3333 0.6667 0.4527
6 Be 0.6667 0.3333 0.1194
7 Zn 0.0000 0.0000 0.4267
8 Zn 0.3333 0.6667 0.0934
9 Zn 0.6667 0.3333 0.7601
10 Pt 0.0000 0.0000 0.1297
11 Pt 0.3333 0.6667 0.7964
12 Pt 0.6667 0.3333 0.4631
13 I 0.0000 0.0000 0.2690
14 I 0.3333 0.6667 0.9356
15 I 0.6667 0.3333 0.6023

Computed properties:
formation energy from raw total energies: -0.4558 eV/atom
energy above the most stable polymorph in this dataset: 0 meV/atom

---

(5)
A plane-wave DFT calculation with PBE was carried out for a relaxed structure of Tm3AlGa5.

a b c (Å): 8.1557 8.1557 8.1557
angles (deg): 118.72 118.72 92.23
Atoms (fractional coordinates):
1 Tm 0.1319 0.6319 0.7637
2 Tm 0.2500 0.2500 0.0000
3 Tm 0.3681 0.1319 0.5000
4 Tm 0.6319 0.8681 0.5000
5 Tm 0.7500 0.7500 0.0000
6 Tm 0.8681 0.3681 0.2363
7 Al 0.2500 0.7500 0.5000
8 Al 0.7500 0.2500 0.5000
9 Ga 0.0000 0.0000 0.0000
10 Ga 0.0319 0.1618 0.5000
11 Ga 0.1618 0.6618 0.1298
12 Ga 0.3382 0.4681 0.5000
13 Ga 0.4681 0.9681 0.1298
14 Ga 0.5000 0.5000 0.0000
15 Ga 0.5319 0.0319 0.8702
16 Ga 0.6618 0.5319 0.5000
17 Ga 0.8382 0.3382 0.8702
18 Ga 0.9681 0.8382 0.5000

Computed properties:
E_form: -2.70 eV/f.u.

---

(6)
A plane-wave DFT calculation with PBE was carried out for a relaxed structure of Tb4NdIn4.

a b c (Å): 7.2739 7.2739 10.6354
angles (deg): 90.00 90.00 90.00
Atoms (fractional coordinates):
1 Tb 0.0189 0.2500 0.1624
2 Tb 0.2500 0.0189 0.6624
3 Tb 0.2500 0.4811 0.6624
4 Tb 0.4811 0.2500 0.1624
5 Tb 0.5189 0.7500 0.8376
6 Tb 0.7500 0.5189 0.3376
7 Tb 0.7500 0.9811 0.3376
8 Tb 0.9811 0.7500 0.8376
9 Nd 0.2500 0.7500 0.2500
10 Nd 0.7500 0.2500 0.7500
11 In 0.0357 0.2500 0.4605
12 In 0.2500 0.0357 0.9605
13 In 0.2500 0.4643 0.9605
14 In 0.4643 0.2500 0.4605
15 In 0.5357 0.7500 0.5395
16 In 0.7500 0.5357 0.0395
17 In 0.7500 0.9643 0.0395
18 In 0.9643 0.7500 0.5395

Computed properties:
E_form: -1.56 eV/f.u.

---

(7)
A plane-wave DFT calculation with PBE was carried out for a relaxed structure of Ni2SbBr.

a b c (Å): 7.5063 6.6611 3.2014
angles (deg): 90.00 112.53 90.00
Atoms (fractional coordinates):
1 Ni 0.2500 0.2500 0.0000
2 Ni 0.2500 0.7500 0.0000
3 Ni 0.7500 0.2500 0.0000
4 Ni 0.7500 0.7500 0.0000
5 Sb 0.0000 0.0000 0.5000
6 Sb 0.5000 0.5000 0.5000
7 Br 0.0000 0.5000 0.5000
8 Br 0.5000 0.0000 0.5000

Computed properties:
formation energy from raw total energies: 0.3795 eV/atom
energy above the most stable polymorph in this dataset: 405 meV/atom

---

(8)
A plane-wave DFT calculation with PBE was carried out for a relaxed structure of Ho3ErSb3.

a b c (Å): 7.9835 7.9835 7.9835
angles (deg): 67.70 67.70 67.70
Atoms (fractional coordinates):
1 Ho 0.0865 0.8232 0.3423
2 Ho 0.1768 0.6577 0.9135
3 Ho 0.3423 0.0865 0.8232
4 Ho 0.6577 0.9135 0.1768
5 Ho 0.8232 0.3423 0.0865
6 Ho 0.9135 0.1768 0.6577
7 Er 0.3339 0.3339 0.3339
8 Er 0.6661 0.6661 0.6661
9 Sb 0.0783 0.4725 0.6958
10 Sb 0.3042 0.9217 0.5275
11 Sb 0.4725 0.6958 0.0783
12 Sb 0.5275 0.3042 0.9217
13 Sb 0.6958 0.0783 0.4725
14 Sb 0.9217 0.5275 0.3042

Computed properties:
formation energy from raw total energies: -0.8786 eV/atom
energy above the most stable polymorph in this dataset: 87 meV/atom

---

(9)
A plane-wave DFT calculation with PBE was carried out for a relaxed structure of LiSeCl3.

a b c (Å): 6.1902 6.4207 7.8502
angles (deg): 98.50 101.59 103.08
Atoms (fractional coordinates):
1 Li 0.0432 0.2384 0.4083
2 Li 0.9568 0.7616 0.5917
3 Se 0.4790 0.4830 0.8280
4 Se 0.5210 0.5170 0.1720
5 Cl 0.1077 0.1714 0.7038
6 Cl 0.1867 0.2485 0.1326
7 Cl 0.3070 0.6363 0.5859
8 Cl 0.6930 0.3637 0.4141
9 Cl 0.8133 0.7515 0.8674
10 Cl 0.8923 0.8286 0.2962

Computed properties:
formation energy from raw total energies: -0.7783 eV/atom
energy above the most stable polymorph in this dataset: 6 meV/atom

---

(10)
A plane-wave DFT calculation with PBE was carried out for a relaxed structure of AcYbAu2.

a b c (Å): 7.5662 7.5662 7.5662
angles (deg): 90.00 90.00 90.00
Atoms (fractional coordinates):
1 Ac 0.0000 0.0000 0.0000
2 Ac 0.0000 0.5000 0.5000
3 Ac 0.5000 0.0000 0.5000
4 Ac 0.5000 0.5000 0.0000
5 Yb 0.0000 0.0000 0.5000
6 Yb 0.0000 0.5000 0.0000
7 Yb 0.5000 0.0000 0.0000
8 Yb 0.5000 0.5000 0.5000
9 Au 0.2500 0.2500 0.2500
10 Au 0.2500 0.2500 0.7500
11 Au 0.2500 0.7500 0.2500
12 Au 0.2500 0.7500 0.7500
13 Au 0.7500 0.2500 0.2500
14 Au 0.7500 0.2500 0.7500
15 Au 0.7500 0.7500 0.2500
16 Au 0.7500 0.7500 0.7500

Computed properties:
E_form: -3.37 eV/f.u.

---

(11)
A plane-wave DFT calculation with PBE was carried out for a relaxed structure of TlIn2Ga2.

a b c (Å): 4.6743 4.6743 11.8437
angles (deg): 90.00 90.00 90.00
Atoms (fractional coordinates):
1 Tl 0.0000 0.0000 0.0000
2 Tl 0.5000 0.5000 0.5000
3 In 0.0000 0.5000 0.2500
4 In 0.0000 0.5000 0.7500
5 In 0.5000 0.0000 0.2500
6 In 0.5000 0.0000 0.7500
7 Ga 0.0000 0.0000 0.3938
8 Ga 0.0000 0.0000 0.6062
9 Ga 0.5000 0.5000 0.1062
10 Ga 0.5000 0.5000 0.8938

Computed properties:
E_form: 0.17 eV/f.u.
energy above the most stable polymorph in this dataset: 0 meV/atom

---

(12)
A plane-wave DFT calculation with PBE was carried out for a relaxed structure of LiCo2As.

a b c (Å): 2.9276 2.9276 5.4174
angles (deg): 90.00 90.00 90.00
Atoms (fractional coordinates):
1 Li 0.0000 0.0000 0.0000
2 Co 0.5000 0.5000 0.2598
3 Co 0.5000 0.5000 0.7402
4 As 0.0000 0.0000 0.5000

Computed properties:
E_form: 0.12 eV/f.u.